1.
# GGA-PBE TlOsAu, optimized geometry
data_TlOsAu
_cell_length_a 2.993
_cell_length_b 2.993
_cell_length_c 7.262
_cell_angle_alpha 90.00
_cell_angle_beta 90.00
_cell_angle_gamma 120.00
_symmetry_space_group_name_H-M 'P 1'
_symmetry_Int_Tables_number 1
_symmetry_space_group_name_Hall 'P 1'
loop_
_atom_site_label
_atom_site_type_symbol
_atom_site_fract_x
_atom_site_fract_y
_atom_site_fract_z
Tl1 Tl 0.000 0.000 0.000
Os1 Os 0.333 0.667 0.670
Au1 Au 0.667 0.333 0.361
# - Relative energy among the computed polymorphs: 0 meV/atom
# - Energy relative to the elements: 2.5 eV/f.u.
# - Electronic total energy: -4.781 eV per atom
# - Space-group type: No. 156

=====

2.
# GGA-PBE TlOsAu2, optimized geometry
data_TlOsAu2
_cell_length_a 4.984
_cell_length_b 4.984
_cell_length_c 4.984
_cell_angle_alpha 128.93
_cell_angle_beta 128.93
_cell_angle_gamma 75.13
_symmetry_space_group_name_H-M 'P 1'
_symmetry_Int_Tables_number 1
_symmetry_space_group_name_Hall 'P 1'
loop_
_atom_site_label
_atom_site_type_symbol
_atom_site_fract_x
_atom_site_fract_y
_atom_site_fract_z
Tl1 Tl 0.000 0.000 0.000
Os1 Os 0.750 0.250 0.500
Au1 Au 0.250 0.750 0.500
Au2 Au 0.500 0.500 0.000
# - Relative energy among the computed polymorphs: 141 meV/atom
# - Energy relative to the elements: 2.9 eV/f.u.
# - Electronic total energy: -4.304 eV per atom
# - Space-group type: No. 119

=====

3.
# GGA-PBE TlOsAu3, optimized geometry
data_TlOsAu3
_cell_length_a 5.119
_cell_length_b 5.119
_cell_length_c 5.119
_cell_angle_alpha 90.00
_cell_angle_beta 90.00
_cell_angle_gamma 90.00
_symmetry_space_group_name_H-M 'P 1'
_symmetry_Int_Tables_number 1
_symmetry_space_group_name_Hall 'P 1'
loop_
_atom_site_label
_atom_site_type_symbol
_atom_site_fract_x
_atom_site_fract_y
_atom_site_fract_z
Tl1 Tl 0.000 0.000 0.000
Os1 Os 0.500 0.500 0.500
Au1 Au 0.000 0.500 0.500
Au2 Au 0.500 0.000 0.500
Au3 Au 0.500 0.500 0.000
# - Relative energy among the computed polymorphs: 0 meV/atom
# - Energy relative to the elements: 4.4 eV/f.u.
# - Electronic total energy: -3.796 eV per atom
# - Space-group type: No. 221

=====

4.
# GGA-PBE TlV2OsAu, optimized geometry
data_TlV2OsAu
_cell_length_a 4.828
_cell_length_b 4.828
_cell_length_c 4.889
_cell_angle_alpha 90.00
_cell_angle_beta 90.00
_cell_angle_gamma 90.00
_symmetry_space_group_name_H-M 'P 1'
_symmetry_Int_Tables_number 1
_symmetry_space_group_name_Hall 'P 1'
loop_
_atom_site_label
_atom_site_type_symbol
_atom_site_fract_x
_atom_site_fract_y
_atom_site_fract_z
Tl1 Tl 0.000 0.000 0.000
V1 V 0.000 0.500 0.000
V2 V 0.500 0.000 0.000
Os1 Os 0.500 0.500 0.500
Au1 Au 0.000 0.000 0.500
# - Energy relative to the elements: 12.7 eV/f.u.
# - Electronic total energy: -4.481 eV per atom
# - Space-group type: No. 123